Record 1
Here is a relaxed Ca3Ag3Ge2 crystal from the Alexandria database. Energies are from PBE.

```
data_Ca3Ag3Ge2
_chemical_formula_sum 'Ca12 Ag12 Ge8'
_cell_length_a 5.851
_cell_length_b 7.994
_cell_length_c 16.153
_cell_angle_alpha 90.00
_cell_angle_beta 90.00
_cell_angle_gamma 90.00
_space_group_name_H-M_alt 'P 1'
_space_group_IT_number 1
_space_group_name_Hall 'P 1'
loop_
_atom_site_label
_atom_site_type_symbol
_atom_site_fract_x
_atom_site_fract_y
_atom_site_fract_z
Ca1 Ca 0.629 0.028 0.608
Ag1 Ag 0.098 0.175 0.530
Ag2 Ag 0.902 0.825 0.030
Ca2 Ca 0.871 0.528 0.608
Ag3 Ag 0.598 0.325 0.030
Ca3 Ca 0.629 0.028 0.892
Ag4 Ag 0.366 0.690 0.250
Ge1 Ge 0.132 0.878 0.612
Ca4 Ca 0.129 0.472 0.392
Ca5 Ca 0.861 0.842 0.250
Ca6 Ca 0.371 0.972 0.108
Ca7 Ca 0.129 0.472 0.108
Ag5 Ag 0.866 0.810 0.750
Ca8 Ca 0.361 0.658 0.750
Ag6 Ag 0.598 0.325 0.470
Ge2 Ge 0.132 0.878 0.888
Ca9 Ca 0.371 0.972 0.392
Ag7 Ag 0.134 0.190 0.250
Ge3 Ge 0.368 0.378 0.612
Ag8 Ag 0.402 0.675 0.530
Ag9 Ag 0.634 0.310 0.750
Ca10 Ca 0.639 0.342 0.250
Ge4 Ge 0.368 0.378 0.888
Ag10 Ag 0.902 0.825 0.470
Ag11 Ag 0.402 0.675 0.970
Ag12 Ag 0.098 0.175 0.970
Ca11 Ca 0.871 0.528 0.892
Ge5 Ge 0.868 0.122 0.112
Ge6 Ge 0.632 0.622 0.388
Ge7 Ge 0.632 0.622 0.112
Ca12 Ca 0.139 0.158 0.750
Ge8 Ge 0.868 0.122 0.388
```

Summary:
For the energy of formation from the pure elements, the calculation gives -0.40 eV per atom.

=====

Record 2
Here is a relaxed Ca4AgGe crystal from the Alexandria database. Energies are from PBE.

```
data_Ca4AgGe
_chemical_formula_sum 'Ca4 Ag1 Ge1'
_cell_length_a 5.101
_cell_length_b 5.102
_cell_length_c 7.433
_cell_angle_alpha 89.95
_cell_angle_beta 89.97
_cell_angle_gamma 90.00
_space_group_name_H-M_alt 'P 1'
_space_group_IT_number 1
_space_group_name_Hall 'P 1'
loop_
_atom_site_label
_atom_site_type_symbol
_atom_site_fract_x
_atom_site_fract_y
_atom_site_fract_z
Ag1 Ag 0.001 0.997 0.498
Ca1 Ca 0.002 0.497 0.757
Ge1 Ge 0.501 0.497 0.998
Ca2 Ca 0.501 0.997 0.239
Ca3 Ca 0.501 0.998 0.757
Ca4 Ca 0.001 0.497 0.239
```

Summary:
For the energy of formation from the pure elements, the calculation gives -0.32 eV per atom.

=====

Record 3
Here is a relaxed CaAg2Ge crystal from the Alexandria database. Energies are from PBE.

```
data_CaAg2Ge
_chemical_formula_sum 'Ca2 Ag4 Ge2'
_cell_length_a 5.425
_cell_length_b 4.449
_cell_length_c 7.193
_cell_angle_alpha 90.00
_cell_angle_beta 93.33
_cell_angle_gamma 90.00
_space_group_name_H-M_alt 'P 1'
_space_group_IT_number 1
_space_group_name_Hall 'P 1'
loop_
_atom_site_label
_atom_site_type_symbol
_atom_site_fract_x
_atom_site_fract_y
_atom_site_fract_z
Ge1 Ge 0.799 0.500 0.094
Ge2 Ge 0.539 0.500 0.677
Ag1 Ag 0.288 0.000 0.598
Ag2 Ag 0.038 0.500 0.749
Ca1 Ca 0.771 0.000 0.396
Ag3 Ag 0.212 0.500 0.349
Ag4 Ag 0.741 0.000 0.872
Ca2 Ca 0.261 0.000 0.048
```

Summary:
For the energy of formation from the pure elements, the calculation gives -0.23 eV per atom.

=====

Record 4
Here is a relaxed Ca2Ag2Ge crystal from the Alexandria database. Energies are from PBE.

```
data_Ca2Ag2Ge
_chemical_formula_sum 'Ca4 Ag4 Ge2'
_cell_length_a 8.240
_cell_length_b 8.240
_cell_length_c 3.842
_cell_angle_alpha 90.00
_cell_angle_beta 90.00
_cell_angle_gamma 90.00
_space_group_name_H-M_alt 'P 1'
_space_group_IT_number 1
_space_group_name_Hall 'P 1'
loop_
_atom_site_label
_atom_site_type_symbol
_atom_site_fract_x
_atom_site_fract_y
_atom_site_fract_z
Ge1 Ge 0.500 0.500 0.000
Ge2 Ge 0.000 0.000 0.000
Ca1 Ca 0.170 0.330 0.000
Ag1 Ag 0.123 0.623 0.500
Ag2 Ag 0.377 0.123 0.500
Ag3 Ag 0.623 0.877 0.500
Ag4 Ag 0.877 0.377 0.500
Ca2 Ca 0.330 0.830 0.000
Ca3 Ca 0.670 0.170 0.000
Ca4 Ca 0.830 0.670 0.000
```

Summary:
For the energy of formation from the pure elements, the calculation gives -0.10 eV per atom. The excess energy over the best structure of this formula in the dataset is 0.2984 eV per atom.

=====

Record 5
Here is a relaxed Ca6Ag5Ge crystal from the Alexandria database. Energies are from PBE.

```
data_Ca6Ag5Ge
_chemical_formula_sum 'Ca6 Ag5 Ge1'
_cell_length_a 5.176
_cell_length_b 7.505
_cell_length_c 8.194
_cell_angle_alpha 90.00
_cell_angle_beta 107.70
_cell_angle_gamma 90.00
_space_group_name_H-M_alt 'P 1'
_space_group_IT_number 1
_space_group_name_Hall 'P 1'
loop_
_atom_site_label
_atom_site_type_symbol
_atom_site_fract_x
_atom_site_fract_y
_atom_site_fract_z
Ag1 Ag 0.331 0.000 0.656
Ca1 Ca 0.161 0.247 0.325
Ca2 Ca 0.839 0.753 0.675
Ag2 Ag 0.669 0.000 0.344
Ca3 Ca 0.161 0.753 0.325
Ge1 Ge 0.000 0.000 0.000
Ca4 Ca 0.839 0.247 0.675
Ca5 Ca 0.500 0.758 0.000
Ag3 Ag 0.665 0.500 0.336
Ag4 Ag 0.000 0.500 0.000
Ag5 Ag 0.335 0.500 0.664
Ca6 Ca 0.500 0.242 0.000
```

Summary:
For the energy of formation from the pure elements, the calculation gives -0.37 eV per atom.

=====

Record 6
Here is a relaxed CaAg2Ge crystal from the Alexandria database. Energies are from PBE.

```
data_CaAg2Ge
_chemical_formula_sum 'Ca4 Ag8 Ge4'
_cell_length_a 8.906
_cell_length_b 4.514
_cell_length_c 10.369
_cell_angle_alpha 90.00
_cell_angle_beta 124.11
_cell_angle_gamma 90.00
_space_group_name_H-M_alt 'P 1'
_space_group_IT_number 1
_space_group_name_Hall 'P 1'
loop_
_atom_site_label
_atom_site_type_symbol
_atom_site_fract_x
_atom_site_fract_y
_atom_site_fract_z
Ge1 Ge 0.547 0.000 0.576
Ca1 Ca 0.950 0.000 0.600
Ge2 Ge 0.977 0.000 0.906
Ag1 Ag 0.154 0.500 0.897
Ca2 Ca 0.950 0.500 0.100
Ca3 Ca 0.369 0.000 0.198
Ag2 Ag 0.362 0.000 0.900
Ag3 Ag 0.154 0.000 0.397
Ag4 Ag 0.362 0.500 0.400
Ag5 Ag 0.666 0.000 0.885
Ag6 Ag 0.758 0.000 0.213
Ag7 Ag 0.666 0.500 0.385
Ca4 Ca 0.369 0.500 0.698
Ge3 Ge 0.547 0.500 0.076
Ag8 Ag 0.758 0.500 0.713
Ge4 Ge 0.977 0.500 0.406
```

Summary:
For the energy of formation from the pure elements, the calculation gives -0.23 eV per atom.

=====

Record 7
Here is a relaxed CaAgGe crystal from the Alexandria database. Energies are from PBE.

```
data_CaAgGe
_chemical_formula_sum 'Ca1 Ag1 Ge1'
_cell_length_a 3.631
_cell_length_b 4.602
_cell_length_c 4.602
_cell_angle_alpha 120.00
_cell_angle_beta 90.00
_cell_angle_gamma 90.00
_space_group_name_H-M_alt 'P 1'
_space_group_IT_number 1
_space_group_name_Hall 'P 1'
loop_
_atom_site_label
_atom_site_type_symbol
_atom_site_fract_x
_atom_site_fract_y
_atom_site_fract_z
Ca1 Ca 0.667 0.667 0.333
Ge1 Ge 0.167 0.333 0.667
Ag1 Ag 0.167 0.000 0.000
```

Summary:
For the energy of formation from the pure elements, the calculation gives -0.47 eV per atom.

=====

Record 8
Here is a relaxed Ca4Ag2Ge crystal from the Alexandria database. Energies are from PBE.

```
data_Ca4Ag2Ge
_chemical_formula_sum 'Ca4 Ag2 Ge1'
_cell_length_a 5.175
_cell_length_b 5.175
_cell_length_c 9.025
_cell_angle_alpha 73.34
_cell_angle_beta 73.34
_cell_angle_gamma 60.00
_space_group_name_H-M_alt 'P 1'
_space_group_IT_number 1
_space_group_name_Hall 'P 1'
loop_
_atom_site_label
_atom_site_type_symbol
_atom_site_fract_x
_atom_site_fract_y
_atom_site_fract_z
Ca1 Ca 0.626 0.626 0.122
Ge1 Ge 0.000 0.000 0.000
Ag1 Ag 0.248 0.248 0.256
Ca2 Ca 0.876 0.876 0.371
Ca3 Ca 0.374 0.374 0.878
Ca4 Ca 0.124 0.124 0.629
Ag2 Ag 0.752 0.752 0.744
```

Summary:
For the energy of formation from the pure elements, the calculation gives -0.36 eV per atom.

=====

The following raw total energy values (in eV for the cell shown) correspond, in order, to the records above: -107.9 -17.4 -26.5 -29.7 -35.3 -53.0 -10.9 -20.8.